P.
The following is a PBE calculation of an optimized crystal structure of CsNd2I8, from the Alexandria database.

Symmetry: C2/m

Lattice parameters (Å, degrees): 9.8736 7.9058 7.9058 77.11 79.32 79.32
Last column: nearest neighbours and their distance in Å.
Sites, in units of the cell vectors:
1 I 0.3718 0.6974 0.0680  2 Nd 3.24-3.25
2 I 0.8257 0.7491 0.7491  1 Nd 3.04
3 Nd 0.5483 0.6820 0.6820  7 I 3.04-3.25
4 I 0.2857 0.5780 0.5780  2 Nd 3.16-3.24
5 I 0.7143 0.4220 0.4220  2 Nd 3.16-3.24
6 Cs 0.0000 0.0000 0.0000  6 I 3.89-4.05
7 I 0.1743 0.2509 0.2509  1 Nd 3.04
8 I 0.3718 0.0680 0.6974  2 Nd 3.24-3.25
9 I 0.6282 0.3026 0.9320  2 Nd 3.24-3.25
10 I 0.6282 0.9320 0.3026  2 Nd 3.24-3.25
11 Nd 0.4517 0.3180 0.3180  7 I 3.04-3.25

Q.
The following is a PBE calculation of an optimized crystal structure of CsNd2I8, from the Alexandria database.

Symmetry: C2/m

Lattice parameters (Å, degrees): 6.2881 9.3132 9.3132 115.76 90.10 90.10
Last column: nearest neighbours and their distance in Å.
Sites, in units of the cell vectors:
1 I 0.9980 0.9451 0.6741  2 Nd 3.21-3.28
2 Cs 0.5000 0.0000 0.0000  10 I 4.14-4.25
3 I 0.5000 0.7378 0.2622  2 Nd 3.22
4 Nd 0.0000 0.3053 0.6947  8 I 3.21-3.45
5 I 0.2508 0.5011 0.5011  2 I 3.13-3.15, 2 Nd 3.45
6 I 0.0020 0.3259 0.0549  2 Nd 3.21-3.28
7 I 0.7492 0.4989 0.4989  2 I 3.13-3.15, 2 Nd 3.45
8 I 0.5000 0.2622 0.7378  2 Nd 3.22
9 I 0.9980 0.6741 0.9451  2 Nd 3.21-3.28
10 I 0.0020 0.0549 0.3259  2 Nd 3.21-3.28
11 Nd 0.0000 0.6947 0.3053  8 I 3.21-3.45

Stability summary: most stable Q, least stable P.

P.
The following is a PBE calculation of an optimized crystal structure of CsNi3I, from the Alexandria database.

Symmetry: Pm-3m

Lattice parameters (Å, degrees): 4.9126 4.9126 4.9126 90.00 90.00 90.00
Last column: nearest neighbours and their distance in Å.
Sites, in units of the cell vectors:
1 Ni 0.5000 0.0000 0.0000  2 Cs 2.46
2 Ni 0.0000 0.0000 0.5000  2 Cs 2.46
3 Ni 0.0000 0.5000 0.0000  2 Cs 2.46
4 Cs 0.0000 0.0000 0.0000  6 Ni 2.46
5 I 0.5000 0.5000 0.5000  12 Ni 3.47

Q.
The following is a PBE calculation of an optimized crystal structure of CsNi3I, from the Alexandria database.

Symmetry: Pm-3m

Lattice parameters (Å, degrees): 4.8782 4.8782 4.8782 90.00 90.00 90.00
Last column: nearest neighbours and their distance in Å.
Sites, in units of the cell vectors:
1 Ni 0.0000 0.0000 0.5000  2 I 2.44
2 Ni 0.0000 0.5000 0.0000  2 I 2.44
3 Ni 0.5000 0.0000 0.0000  2 I 2.44
4 I 0.0000 0.0000 0.0000  6 Ni 2.44
5 Cs 0.5000 0.5000 0.5000  12 Ni 3.45

Stability summary: most stable Q, least stable P.